The following is a DFT calculation (PBE) of a geometry-optimized Rb3Sm3TiO8 structure.

V = 275.3 Å³/f.u.
total moment = 0.00 μB/f.u.
SG = R-3m (166)
crystal system = trigonal
E_form (uncorrected) = -2.689 eV per atom

Cell lengths 7.738, 7.738, 7.738 Å; angles 53.19, 53.19, 53.19 degrees
Element x y z (fractional)
Rb (0.000, 0.500, 0.500)
Rb (0.500, 0.000, 0.500)
Rb (0.500, 0.500, 0.000)
Sm (0.000, 0.000, 0.500)
Sm (0.000, 0.500, 0.000)
Sm (0.500, 0.000, 0.000)
Ti (0.500, 0.500, 0.500)
O (0.226, 0.226, 0.226)
O (0.261, 0.701, 0.701)
O (0.299, 0.299, 0.739)
O (0.299, 0.739, 0.299)
O (0.701, 0.261, 0.701)
O (0.701, 0.701, 0.261)
O (0.739, 0.299, 0.299)
O (0.774, 0.774, 0.774)

=====

The following is a DFT calculation (PBE) of a geometry-optimized CaTa2Hg structure.

V = 84.5 Å³/f.u.
ΔH_f (0 K) = 478 meV/atom
total moment = 0.00 μB/f.u.
SG = Pmmm (47)
crystal system = orthorhombic

Cell lengths 3.295, 4.774, 5.374 Å; angles 90.00, 90.00, 90.00 degrees
Element x y z (fractional)
Ca (0.000, 0.000, 0.000)
Ta (0.000, 0.500, 0.500)
Ta (0.500, 0.000, 0.500)
Hg (0.500, 0.500, 0.000)

=====

The following is a DFT calculation (PBE) of a geometry-optimized Nd2Dy2Er2In structure.

V = 216.0 Å³/f.u.
ΔH_f (0 K) = -41 meV/atom
total moment = 0.00 μB/f.u.
SG = C2/m (12)
crystal system = monoclinic

Cell lengths 5.459, 5.459, 8.951 Å; angles 110.33, 110.33, 62.38 degrees
Element x y z (fractional)
Nd (0.139, 0.139, 0.415)
Nd (0.861, 0.861, 0.585)
Dy (0.288, 0.288, 0.870)
Dy (0.712, 0.712, 0.130)
Er (0.438, 0.438, 0.298)
Er (0.562, 0.562, 0.702)
In (0.000, 0.000, 0.000)

=====

The following is a DFT calculation (PBE) of a geometry-optimized TcPbSe4 structure.

V = 137.6 Å³/f.u.
total moment = 3.89 μB/f.u.
SG = F-43m (216)
crystal system = cubic
E_form (uncorrected) = 0.863 eV per atom

Cell lengths 5.795, 5.795, 5.795 Å; angles 60.00, 60.00, 60.00 degrees
Element x y z (fractional)
Tc (0.000, 0.000, 0.000)
Pb (0.750, 0.750, 0.750)
Se (0.374, 0.374, 0.374)
Se (0.374, 0.374, 0.878)
Se (0.374, 0.878, 0.374)
Se (0.878, 0.374, 0.374)